Entry 1:
Co2PdW2 | PBE | optimized geometry

## Properties
ΔE_f: 179 kJ/mol of formula units
total magnetic moment: 0.000 μB/cell
distance to the lowest polymorph of the same formula: 291 meV/atom

Structure (extended XYZ):
```
5
Lattice="4.0001 0.0000 0.0000 0.0000 4.0001 0.0000 2.0000 2.0000 4.7346" Properties=species:S:1:pos:R:3 pbc="T T T"
Co 4.0001 4.0001 3.6700
W 4.0001 2.0000 2.3673
Co 2.0000 2.0000 1.0646
Pd 0.0000 0.0000 0.0000
W 2.0000 4.0001 2.3673
```

Entry 2:
NdZrFe | PBE | optimized geometry

## Properties
ΔE_f: 22 kJ/mol of formula units
total magnetic moment: 0.002 μB/cell

Structure (extended XYZ):
```
12
Lattice="-0.9327 -2.8541 -5.6075 2.2843 -4.2609 5.3964 -6.1930 -1.2255 1.6538" Properties=species:S:1:pos:R:3 pbc="T T T"
Fe -1.4557 -5.0979 2.8368
Zr -1.6916 -1.3009 -0.8603
Nd -1.8202 -5.3910 -0.5611
Fe 0.7845 -5.9893 -0.6897
Zr -2.1579 -2.7280 -3.6641
Zr -2.6835 -5.6125 5.1068
Nd 0.4794 -3.6011 1.7531
Nd -5.3208 -4.7394 -0.3105
Fe -5.6259 -2.3512 2.1324
Nd -3.0212 -2.9495 2.0037
Fe -3.3857 -3.2426 -1.3941
Zr -3.1498 -7.0396 2.3030
```

Entry 3:
Cd2SiNi | PBE | optimized geometry

## Properties
ΔE_f (raw): 276 meV per atom
total magnetic moment: 0.000 μB/cell

Structure (extended XYZ):
```
4
Lattice="-0.7609 -0.8891 -2.6267 -2.1631 -1.5121 1.1417 -5.1819 6.8065 -0.8028" Properties=species:S:1:pos:R:3 pbc="T T T"
Cd -0.1967 0.2584 -0.0305
Ni -2.7574 0.5010 -0.9432
Si -5.3484 3.9043 -1.3446
Cd -2.3943 3.1449 -0.3709
```

Entry 4:
Ce2AsO | PBE | optimized geometry

## Properties
ΔE_f (raw): -1508 meV per atom
total magnetic moment: 2.361 μB/cell
distance to the lowest polymorph of the same formula: 508 meV/atom

Structure (extended XYZ):
```
4
Lattice="3.3372 0.0000 0.0000 0.0000 3.3372 0.0000 0.0000 0.0000 6.8527" Properties=species:S:1:pos:R:3 pbc="T T T"
Ce 0.0000 0.0000 5.2985
O 1.6686 1.6686 0.0000
As 1.6686 1.6686 3.4264
Ce 0.0000 0.0000 1.5542
```

Entry 5:
Li5Mg3 | PBE | optimized geometry

## Properties
ΔE_f: 14 kJ/mol of formula units
total magnetic moment: 0.000 μB/cell
distance to the lowest polymorph of the same formula: 64 meV/atom

Structure (extended XYZ):
```
16
Lattice="-7.8136 0.9164 3.0092 5.4063 -5.2055 3.8240 1.7330 4.1720 3.2292" Properties=species:S:1:pos:R:3 pbc="T T T"
Mg 3.5340 -1.7043 7.4672
Li -2.3547 0.0411 8.3725
Mg 3.6446 -2.0495 3.0792
Li -2.5401 0.9616 4.8954
Li 1.6802 -0.1582 1.6900
Li 0.6950 -1.3712 8.5605
Mg -4.2085 1.5872 2.5952
Li -1.4191 -2.2572 6.0651
Li -1.6736 3.0476 6.5100
Li -1.3694 1.2541 1.5020
Li 0.7446 2.1401 3.9974
Li 0.9992 -3.1647 3.5524
Mg -0.1302 0.5813 6.4808
Li 1.8657 -1.0787 5.1670
Mg -4.3191 1.9324 6.9832
Mg -0.5442 -0.6984 3.5817
```

Entry 6:
Na2SmAsO4 | PBE | optimized geometry

## Properties
ΔE_f (raw): -1894 meV per atom
total magnetic moment: 0.000 μB/cell

Structure (extended XYZ):
```
8
Lattice="3.4115 0.0000 0.0000 0.0000 5.8195 0.1033 0.0000 -2.0310 5.5489" Properties=species:S:1:pos:R:3 pbc="T T T"
O 1.7058 0.8909 1.2333
O 0.0000 3.9467 1.2643
Na 1.7058 -1.0155 2.7745
As 0.0000 0.0000 0.0000
Na 0.0000 1.8943 2.8261
O 0.0000 -0.1582 4.3879
Sm 1.7058 2.9097 0.0517
O 1.7058 2.8977 4.4189
```

Entry 7:
Dy2CdHg9 | PBE | optimized geometry

## Properties
ΔE_f: -245 kJ/mol of formula units
total magnetic moment: 0.000 μB/cell

Structure (extended XYZ):
```
12
Lattice="-4.6111 0.3225 0.8202 -0.6971 -4.0078 -2.3433 1.5124 -6.7969 11.1750" Properties=species:S:1:pos:R:3 pbc="T T T"
Dy 1.0211 -4.5889 7.5447
Hg 0.4077 -5.4024 4.4159
Hg 0.9169 -7.6912 8.1790
Hg -0.1016 -3.1135 0.6527
Hg -1.5494 -3.2372 5.9976
Hg -2.6541 -1.8427 -0.7616
Hg -2.0587 -0.9484 2.2345
Hg -1.0401 -5.5261 9.7607
Hg -1.6494 -6.3579 6.6621
Dy 0.4913 -2.2081 3.6304
Hg -2.1464 -4.1244 2.9899
Cd 0.0000 0.0000 0.0000
```

Entry 8:
CeZrGa3 | PBE | optimized geometry

## Properties
ΔE_f: -272 kJ/mol of formula units
total magnetic moment: 0.994 μB/cell
distance to the lowest polymorph of the same formula: 0 meV/atom

Structure (extended XYZ):
```
10
Lattice="4.0279 0.0000 -0.5546 0.0000 4.0903 0.0000 -0.2918 0.0000 12.7850" Properties=species:S:1:pos:R:3 pbc="T T T"
Ga 2.4419 3.0677 2.8308
Ce 0.2606 1.0226 1.8929
Ga 1.2942 1.0226 9.3996
Ga 2.6443 1.0226 4.3007
Ga 1.0918 3.0677 7.9297
Zr 3.0248 1.0226 7.0644
Ce 3.4755 3.0677 10.3375
Zr 0.7113 3.0677 5.1660
Ga 2.1020 3.0677 0.3622
Ga 1.6341 1.0226 11.8682
```